Density functional theory data (PBE) for a geometry-optimized Li2ScTc structure.

Computed properties:
**Density of states at the Fermi level**: 0.9975 states/eV per atom
**ΔH_f (0 K)**: 0.418 eV/atom
**VASP energy**: -4.71 eV per atom
**E above lowest polymorph**: 0.275 eV/atom
**Density**: 4079 kg/m³

Cell: 3.477 3.477 5.280 Å, 90.00 90.00 90.00°
Space group P4/mmm (No. 123)
Unique sites:
Li (0.000, 0.000, 0.211) [2 per cell]
Sc (0.500, 0.500, 0.500) [1 per cell]
Tc (0.500, 0.500, 0.000) [1 per cell]


Density functional theory data (PBE) for a geometry-optimized Li2ScTc structure.

Computed properties:
**Density of states at the Fermi level**: 0.9376 states/eV per atom
**ΔH_f (0 K)**: 0.251 eV/atom
**VASP energy**: -4.88 eV per atom
**E above lowest polymorph**: 0.108 eV/atom
**Density**: 3873 kg/m³

Cell: 3.757 3.757 9.529 Å, 90.00 90.00 90.00°
Space group I4/mmm (No. 139)
Unique sites:
Li (0.000, 0.500, 0.250) [4 per cell]
Sc (0.000, 0.000, 0.000) [2 per cell]
Tc (0.000, 0.000, 0.500) [2 per cell]


Density functional theory data (PBE) for a geometry-optimized LiSc2Tc2 structure.

Computed properties:
**Density of states at the Fermi level**: 0.5797 states/eV per atom
**ΔH_f (0 K)**: 0.129 eV/atom
**VASP energy**: -6.93 eV per atom
**Density**: 5302 kg/m³

Cell: 6.760 6.760 4.015 Å, 90.00 90.00 90.00°
Space group P4/mbm (No. 127)
Unique sites:
Li (0.000, 0.000, 0.000) [2 per cell]
Sc (0.174, 0.326, 0.500) [4 per cell]
Tc (0.124, 0.624, 0.000) [4 per cell]


Density functional theory data (PBE) for a geometry-optimized Li2ScTc structure.

Computed properties:
**Density of states at the Fermi level**: 0.3742 states/eV per atom
**ΔH_f (0 K)**: 0.293 eV/atom
**VASP energy**: -4.84 eV per atom
**E above lowest polymorph**: 0.150 eV/atom
**Density**: 4135 kg/m³

Cell: 3.971 3.971 7.989 Å, 90.00 90.00 90.00°
Space group I-4m2 (No. 119)
Unique sites:
Li (0.000, 0.000, 0.000) [2 per cell]
Li (0.000, 0.500, 0.250) [2 per cell]
Sc (0.000, 0.500, 0.750) [2 per cell]
Tc (0.000, 0.000, 0.500) [2 per cell]


Density functional theory data (PBE) for a geometry-optimized LiSc2Tc structure.

Computed properties:
**Density of states at the Fermi level**: 1.3272 states/eV per atom
**ΔH_f (0 K)**: 0.302 eV/atom
**VASP energy**: -5.93 eV per atom
**E above lowest polymorph**: 0.441 eV/atom
**Density**: 4066 kg/m³

Cell: 3.0855 3.0855 28.9586 Å, 90.00 90.00 120.00°
Space group R3m (No. 160, hexagonal axes)
Unique sites:
Li (0.0000, 0.0000, 0.0000) [3 per cell]
Sc (0.0000, 0.0000, 0.5268) [3 per cell]
Sc (0.0000, 0.0000, 0.7608) [3 per cell]
Tc (0.0000, 0.0000, 0.2608) [3 per cell]


Density functional theory data (PBE) for a geometry-optimized LiSc2Tc structure.

Computed properties:
**Density of states at the Fermi level**: 0.8554 states/eV per atom
**ΔH_f (0 K)**: 0.155 eV/atom
**VASP energy**: -6.08 eV per atom
**E above lowest polymorph**: 0.294 eV/atom
**Density**: 4366 kg/m³

Cell: 3.565 3.565 5.831 Å, 90.00 90.00 90.00°
Space group P4mm (No. 99)
Unique sites:
Li (0.000, 0.000, 0.000) [1 per cell]
Sc (0.000, 0.000, 0.567) [1 per cell]
Sc (0.500, 0.500, 0.249) [1 per cell]
Tc (0.500, 0.500, 0.743) [1 per cell]